(1)
The following is a DFT calculation (PBE) of a relaxed Cs2CdRhCl6 crystal.

Raw formation energy = -1.23 eV per atom
DOS(E_F) = 0.2066 states/eV per atom
Space-group type = I4/mmm, No. 139

Lattice parameters (Å, degrees): 7.3133 7.3133 7.3133 119.95 119.95 90.09
Closest atoms and distances in Å follow each position.
Sites, in units of the cell vectors:
1 Cs 0.2500 0.7500 0.5000  12 Cl 3.66
2 Cs 0.7500 0.2500 0.5000  12 Cl 3.66
3 Cd 0.0000 0.0000 0.0000  6 Cl 2.72
4 Rh 0.5000 0.5000 0.0000  6 Cl 2.45
5 Cl 0.2628 0.2628 0.0000  1 Rh 2.45, 1 Cd 2.72
6 Cl 0.2632 0.2632 0.5263  1 Rh 2.45, 1 Cd 2.72
7 Cl 0.2632 0.7368 0.0000  1 Rh 2.45, 1 Cd 2.72
8 Cl 0.7368 0.2632 0.0000  1 Rh 2.45, 1 Cd 2.72
9 Cl 0.7372 0.7372 0.0000  1 Rh 2.45, 1 Cd 2.72
10 Cl 0.7368 0.7368 0.4737  1 Rh 2.45, 1 Cd 2.72

---

(2)
The following is a DFT calculation (PBE) of a relaxed Sr8HgPt2 crystal.

Formation energy = -3.22 eV per formula unit
DOS(E_F) = 0.7975 states/eV per atom
Space-group type = P-3, No. 147

Lattice parameters (Å, degrees): 9.8381 9.8381 6.2556 90.00 90.00 120.00
Closest atoms and distances in Å follow each position.
Sites, in units of the cell vectors:
1 Sr 0.1639 0.3297 0.2448  1 Pt 2.87
2 Sr 0.1658 0.8361 0.2448  1 Pt 2.87
3 Sr 0.3297 0.1658 0.7552  1 Pt 2.87
4 Sr 0.3333 0.6667 0.7478  2 Pt 3.12-3.14
5 Sr 0.6667 0.3333 0.2522  2 Pt 3.12-3.14
6 Sr 0.6703 0.8342 0.2448  1 Pt 2.87
7 Sr 0.8342 0.1639 0.7552  1 Pt 2.87
8 Sr 0.8361 0.6703 0.7552  1 Pt 2.87
9 Hg 0.0000 0.0000 0.5000  6 Sr 3.23
10 Pt 0.3333 0.6667 0.2495  5 Sr 2.87-3.14
11 Pt 0.6667 0.3333 0.7505  5 Sr 2.87-3.14

---

(3)
The following is a DFT calculation (PBE) of a relaxed Sr2LaCu2 crystal.

E above lowest polymorph = 0 meV/atom
Formation energy = 0.00 eV per formula unit
DOS(E_F) = 1.5498 states/eV per atom
Space-group type = P4/mbm, No. 127

Lattice parameters (Å, degrees): 7.8267 7.8267 4.9258 90.00 90.00 90.00
Closest atoms and distances in Å follow each position.
Sites, in units of the cell vectors:
1 Sr 0.1706 0.3294 0.0000  6 Cu 3.35-3.43
2 Sr 0.3294 0.8294 0.0000  6 Cu 3.35-3.43
3 Sr 0.6706 0.1706 0.0000  6 Cu 3.35-3.43
4 Sr 0.8294 0.6706 0.0000  6 Cu 3.35-3.43
5 La 0.0000 0.0000 0.5000  4 Cu 3.15
6 La 0.5000 0.5000 0.5000  4 Cu 3.15
7 Cu 0.1141 0.6141 0.5000  1 Cu 2.53
8 Cu 0.3859 0.1141 0.5000  1 Cu 2.53
9 Cu 0.6141 0.8859 0.5000  1 Cu 2.53
10 Cu 0.8859 0.3859 0.5000  1 Cu 2.53

---

> What is the DOS(E_F) in the third record?

1.5498 states/eV per atom